Computed, not measured: a relaxed structure of La3PrNd2As6 at the PBE level of DFT.

calculated total energy	-75.5	eV/cell
energy relative to the elements	-1.54	eV per atom
crystal system	monoclinic

a = 7.499 Å, b = 7.499 Å, c = 7.502 Å
α = 99.58°, β = 99.58°, γ = 120.00°
Positions (direct):
La  0.000  0.000  0.000
La  0.334  0.666  0.000
La  0.666  0.334  0.000
Pr  0.500  0.500  0.500
Nd  0.167  0.833  0.500
Nd  0.833  0.167  0.500
As  0.083  0.418  0.253
As  0.248  0.248  0.747
As  0.418  0.083  0.253
As  0.582  0.917  0.747
As  0.752  0.752  0.253
As  0.917  0.582  0.747